Entry 1:
Entry from Alexandria via LeMat-Bulk: a relaxed NaCu2RuF8 crystal (PBE).

a b c (Å): 6.300 6.300 6.300
angles (deg): 132.07 132.07 70.11
Fractional positions:
Na: 0.000 0.000 0.000
Cu: 0.500 0.500 0.000
Cu: 0.750 0.250 0.500
Ru: 0.250 0.750 0.500
F: 0.134 0.107 0.510
F: 0.134 0.624 0.027
F: 0.376 0.403 0.510
F: 0.376 0.866 0.973
F: 0.597 0.107 0.973
F: 0.597 0.624 0.490
F: 0.893 0.403 0.027
F: 0.893 0.866 0.490

symmetry = I-4m2
D(E_F) = 0.855 states/eV/atom
formation energy without anion corrections = -1643 meV per atom



Entry 2:
Entry from Alexandria via LeMat-Bulk: a relaxed KTa2FeH crystal (PBE).

a b c (Å): 4.527 4.527 3.615
angles (deg): 90.00 90.00 90.00
Fractional positions:
K: 0.000 0.000 0.000
Ta: 0.000 0.500 0.500
Ta: 0.500 0.000 0.500
Fe: 0.500 0.500 0.000
H: 0.500 0.500 0.500

symmetry = P4/mmm
electronic total energy = -30.09 eV per formula unit
D(E_F) = 1.164 states/eV/atom



Entry 3:
Entry from Alexandria via LeMat-Bulk: a relaxed CoNiHg2 crystal (PBE).

a b c (Å): 10.085 2.872 4.695
angles (deg): 90.00 107.15 90.00
Fractional positions:
Co: 0.000 0.000 0.000
Co: 0.500 0.500 0.000
Ni: 0.192 0.500 0.303
Ni: 0.692 0.000 0.303
Hg: 0.242 0.000 0.838
Hg: 0.452 0.000 0.469
Hg: 0.742 0.500 0.838
Hg: 0.952 0.500 0.469

symmetry = Cm
electronic total energy = -11.97 eV per formula unit
D(E_F) = 1.149 states/eV/atom



Entry 4:
Entry from Alexandria via LeMat-Bulk: a relaxed SrP2W crystal (PBE).

a b c (Å): 3.302 3.481 13.927
angles (deg): 90.00 90.00 90.00
Fractional positions:
Sr: 0.000 0.000 0.000
Sr: 0.500 0.500 0.500
P: 0.000 0.000 0.626
P: 0.000 0.500 0.820
P: 0.500 0.000 0.320
P: 0.500 0.500 0.126
W: 0.000 0.500 0.251
W: 0.500 0.000 0.751

symmetry = Imm2
electronic total energy = -26.89 eV per formula unit
D(E_F) = 0.568 states/eV/atom



Entry 5:
Entry from Alexandria via LeMat-Bulk: a relaxed CoReAu2 crystal (PBE).

a b c (Å): 6.279 6.279 6.279
angles (deg): 90.00 90.00 90.00
Fractional positions:
Co: 0.000 0.000 0.000
Co: 0.000 0.500 0.500
Co: 0.500 0.000 0.500
Co: 0.500 0.500 0.000
Re: 0.250 0.250 0.250
Re: 0.250 0.750 0.750
Re: 0.750 0.250 0.750
Re: 0.750 0.750 0.250
Au: 0.000 0.000 0.500
Au: 0.000 0.500 0.000
Au: 0.250 0.250 0.750
Au: 0.250 0.750 0.250
Au: 0.500 0.000 0.000
Au: 0.500 0.500 0.500
Au: 0.750 0.250 0.250
Au: 0.750 0.750 0.750

symmetry = F-43m
electronic total energy = -23.35 eV per formula unit
D(E_F) = 1.030 states/eV/atom



Entry 6:
Entry from Alexandria via LeMat-Bulk: a relaxed CuRe2Si crystal (PBE).

a b c (Å): 2.729 4.046 5.143
angles (deg): 90.00 101.27 90.00
Fractional positions:
Cu: 0.000 0.000 0.000
Re: 0.305 0.500 0.748
Re: 0.695 0.500 0.252
Si: 0.500 0.000 0.500

symmetry = P2/m
D(E_F) = 0.827 states/eV/atom
formation energy without anion corrections = 232 meV per atom



Entry 7:
Entry from Alexandria via LeMat-Bulk: a relaxed Ho4Mg3Al crystal (PBE).

a b c (Å): 9.120 9.120 9.120
angles (deg): 33.53 33.53 33.53
Fractional positions:
Ho: 0.122 0.122 0.122
Ho: 0.372 0.372 0.372
Ho: 0.628 0.628 0.628
Ho: 0.878 0.878 0.878
Mg: 0.247 0.247 0.247
Mg: 0.500 0.500 0.500
Mg: 0.753 0.753 0.753
Al: 0.000 0.000 0.000

symmetry = R-3m
electronic total energy = -28.17 eV per formula unit
D(E_F) = 1.031 states/eV/atom



Entry 8:
Entry from Alexandria via LeMat-Bulk: a relaxed RbNa9Tl3 crystal (PBE).

a b c (Å): 8.873 8.873 8.897
angles (deg): 98.20 98.20 135.43
Fractional positions:
Rb: 0.000 0.000 0.000
Na: 0.000 0.000 0.500
Na: 0.005 0.356 0.339
Na: 0.291 0.517 0.780
Na: 0.356 0.005 0.339
Na: 0.483 0.709 0.220
Na: 0.517 0.291 0.780
Na: 0.644 0.995 0.661
Na: 0.709 0.483 0.220
Na: 0.995 0.644 0.661
Tl: 0.000 0.500 0.000
Tl: 0.500 0.000 0.000
Tl: 0.500 0.500 0.500

symmetry = C2/m
electronic total energy = -20.77 eV per formula unit
D(E_F) = 0.458 states/eV/atom